A relaxed structure of TbPu4Sb5, computed with PBE.

a b c (Å): 7.652 7.652 10.820
angles (deg): 118.13 118.13 33.59
Fractional coordinates of all 10 atoms:
Tb: 0.000 0.000 0.000
Pu: 0.200 0.200 0.800
Pu: 0.400 0.400 0.600
Pu: 0.600 0.600 0.400
Pu: 0.800 0.800 0.200
Sb: 0.000 0.000 0.500
Sb: 0.200 0.200 0.300
Sb: 0.400 0.400 0.100
Sb: 0.600 0.600 0.900
Sb: 0.800 0.800 0.700

SG	No. 12
crystal system	monoclinic
energy relative to the elements, uncorrected	-700	meV/atom